Record 1
# Mn2GeBiO6

A geometry-optimized Mn2GeBiO6 structure (PBE+U, Alexandria).

Structure (POSCAR):
```
Mn2GeBiO6
1.0
5.0793 0.0000 0.0000
0.0000 5.3439 0.0000
0.0000 0.0000 5.3439
O Bi Mn Ge
6 1 2 1
direct
0.2563 0.0000 0.0000
0.7417 0.2341 0.7659
0.7417 0.2341 0.2341
0.7417 0.7659 0.7659
0.7417 0.7659 0.2341
0.1434 0.5000 0.5000
0.5555 0.5000 0.5000
0.9627 0.5000 0.0000
0.9627 0.0000 0.5000
0.5993 0.0000 0.0000
```

Values from the calculation:
The space-group type is P4mm, No. 99. As for the spin magnetization: 0.979 μB/atom. The theoretical density is 5.58 g/cm3. The energy is -6.532 eV/atom.

Record 2
# MnGeBi2O6

A geometry-optimized MnGeBi2O6 structure (PBE+U, Alexandria).

Structure (POSCAR):
```
MnGeBi2O6
1.0
-1.3345 5.3423 -1.3638
-3.8660 2.8233 3.0436
1.6702 4.3016 3.4178
Bi O Mn Ge
2 6 1 1
direct
0.0317 0.0317 0.9049
0.5325 0.5325 0.4024
0.4708 0.6376 0.7743
0.6376 0.1173 0.7743
0.0137 0.5774 0.2509
0.1581 0.0137 0.2509
0.5773 0.1581 0.2509
0.1174 0.4708 0.7743
0.8063 0.8063 0.5811
0.3163 0.3163 0.0512
```

Values from the calculation:
The space-group type is R3, No. 146. As for the spin magnetization: 0.500 μB/atom. The theoretical density is 8.10 g/cm3. The energy is -6.395 eV/atom.